## A
Material: BaSrPrVO6
Method: DFT, PBE with a Hubbard U
State: optimized geometry

```
BaSrPrVO6
1.0
0.000 4.239 4.239
4.239 0.000 4.239
4.239 4.239 0.000
Ba Sr Pr V O
1 1 1 1 6
direct
0.000 0.000 0.000
0.500 0.500 0.500
0.750 0.750 0.750
0.250 0.250 0.250
0.025 0.025 0.475
0.025 0.475 0.025
0.025 0.475 0.475
0.475 0.025 0.025
0.475 0.025 0.475
0.475 0.475 0.025
```

## B
Material: BaSrPrVO6
Method: DFT, PBE with a Hubbard U
State: optimized geometry

```
BaSrPrVO6
1.0
5.967 0.000 0.000
0.010 5.973 0.000
0.102 0.106 8.424
Ba Sr Pr V O
2 2 2 2 12
direct
0.015 0.005 0.251
0.985 0.995 0.749
0.472 0.508 0.753
0.528 0.492 0.247
0.000 0.500 0.500
0.500 0.000 0.000
0.000 0.500 0.000
0.500 0.000 0.500
0.036 0.447 0.777
0.198 0.750 0.978
0.257 0.795 0.530
0.258 0.310 0.041
0.296 0.244 0.455
0.489 0.074 0.723
0.511 0.926 0.277
0.704 0.756 0.545
0.742 0.690 0.959
0.743 0.205 0.470
0.802 0.250 0.022
0.964 0.553 0.223
```

Most stable pick: B. Distance to second place: 2.4 kJ/mol of atoms.